Entry 1:
Compound: KMg4Fe
Source: the Alexandria database
Functional: SCAN
Structure: PBEsol geometry

Computed properties:
Its crystal system is cubic. For the energy relative to the elements, the calculation gives 2.73 eV/f.u.

a b c (Å): 8.368 8.368 8.368
angles (deg): 90.00 90.00 90.00
Space group F-43m (No. 216)
Asymmetric unit:
K 0.000 0.000 0.000 (multiplicity 4)
Mg 0.123 0.123 0.623 (multiplicity 16)
Fe 0.250 0.250 0.250 (multiplicity 4)

Entry 2:
Compound: ReRhBr2
Source: the Alexandria database
Functional: SCAN
Structure: PBEsol geometry

Computed properties:
Its crystal system is monoclinic. The offset from the most stable computed form is 47.7 kJ per mole of atoms. Its uncorrected formation energy is 1.22 eV/atom.

a b c (Å): 5.840 8.651 2.975
angles (deg): 90.00 114.74 90.00
Space group C2/m (No. 12)
Asymmetric unit:
Re 0.000 0.000 0.000 (multiplicity 2)
Rh 0.000 0.500 0.000 (multiplicity 2)
Br 0.250 0.250 0.000 (multiplicity 4)

Entry 3:
Compound: Ca2CuMoH
Source: the Alexandria database
Functional: SCAN
Structure: PBEsol geometry

Computed properties:
The calculation puts the energy at -68.98 eV/cell. Its crystal system is tetragonal.

a b c (Å): 5.528 5.528 3.376
angles (deg): 90.00 90.00 90.00
Space group P4/mmm (No. 123)
Asymmetric unit:
Ca 0.000 0.500 0.000 (multiplicity 2)
Cu 0.000 0.000 0.500 (multiplicity 1)
Mo 0.500 0.500 0.000 (multiplicity 1)
H 0.500 0.500 0.500 (multiplicity 1)

Entry 4:
Compound: GaPSe3
Source: the Alexandria database
Functional: SCAN
Structure: PBEsol geometry

Computed properties:
Its crystal system is cubic. Its uncorrected formation energy is 0.81 eV/atom.

a b c (Å): 4.818 4.818 4.818
angles (deg): 90.00 90.00 90.00
Space group Pm-3m (No. 221)
Asymmetric unit:
Ga 0.000 0.000 0.000 (multiplicity 1)
P 0.500 0.500 0.500 (multiplicity 1)
Se 0.000 0.000 0.500 (multiplicity 3)